Record 1
Compound: VAgAu4
Source: Alexandria via LeMat-Bulk
Functional: PBE
Structure: optimized geometry

```
6
Lattice="-0.6601 0.1675 -3.0207 -3.6641 -0.5040 0.7730 -1.0683 8.8796 0.7256" Properties=species:S:1:pos:R:3 pbc="T T T"
Au -2.0151 1.2699 0.5108
Au -4.6955 5.4089 -0.2612
Au -3.3774 7.2732 -2.0329
Ag -0.3301 0.0838 -1.5103
Au -0.6971 3.1342 -1.2609
V -2.3662 4.1878 0.7493
```

Properties
magnetic moment	2.31	Bohr magnetons per cell
E	-4.1760	eV/atom
density of states at the Fermi level	0.518	states/eV/atom

Record 2
Compound: VAgAu3
Source: Alexandria via LeMat-Bulk
Functional: PBE
Structure: optimized geometry

```
5
Lattice="-4.2412 2.2265 0.9827 -0.1094 -2.1468 4.3920 2.4312 3.7874 1.9119" Properties=species:S:1:pos:R:3 pbc="T T T"
Au -0.0547 -1.0734 2.1960
V 0.0000 0.0000 0.0000
Au -2.1206 1.1133 0.4913
Ag -0.9597 1.9335 3.6433
Au 1.2156 1.8937 0.9559
```

Properties
magnetic moment	0.24	Bohr magnetons per cell
E	-3.5183	eV/atom
ΔE to the lowest computed polymorph	0.000	eV per atom
density of states at the Fermi level	0.738	states/eV/atom

Record 3
Compound: V3AgAu
Source: Alexandria via LeMat-Bulk
Functional: PBE
Structure: optimized geometry

```
5
Lattice="4.9178 0.0000 0.0000 0.0000 4.9178 0.0000 0.0000 0.0000 4.9178" Properties=species:S:1:pos:R:3 pbc="T T T"
V 0.0000 2.4589 0.0000
Au 0.0000 0.0000 0.0000
V 0.0000 0.0000 2.4589
Ag 2.4589 2.4589 2.4589
V 2.4589 0.0000 0.0000
```

Properties
magnetic moment	8.41	Bohr magnetons per cell
E	-5.2629	eV/atom
ΔE to the lowest computed polymorph	0.000	eV per atom
density of states at the Fermi level	2.332	states/eV/atom

Record 4
Compound: VAg3Au
Source: Alexandria via LeMat-Bulk
Functional: PBE
Structure: optimized geometry

```
5
Lattice="5.0953 0.0000 0.0000 0.0000 5.0953 0.0000 0.0000 0.0000 5.0953" Properties=species:S:1:pos:R:3 pbc="T T T"
Au 0.0000 0.0000 0.0000
Ag 0.0000 0.0000 2.5477
V 2.5477 2.5477 2.5477
Ag 0.0000 2.5477 0.0000
Ag 2.5477 0.0000 0.0000
```

Properties
magnetic moment	3.83	Bohr magnetons per cell
E	-3.1383	eV/atom
ΔE to the lowest computed polymorph	0.000	eV per atom
density of states at the Fermi level	1.525	states/eV/atom

Record 5
Compound: VAg3Au
Source: Alexandria via LeMat-Bulk
Functional: PBE
Structure: optimized geometry

```
5
Lattice="4.9353 0.0000 0.0000 0.0000 4.9353 0.0000 0.0000 0.0000 4.9353" Properties=species:S:1:pos:R:3 pbc="T T T"
Ag 0.0000 0.0000 2.4676
Au 2.4676 2.4676 2.4676
V 0.0000 0.0000 0.0000
Ag 2.4676 0.0000 0.0000
Ag 0.0000 2.4676 0.0000
```

Properties
magnetic moment	3.30	Bohr magnetons per cell
E	-2.9174	eV/atom
ΔE to the lowest computed polymorph	0.221	eV per atom
density of states at the Fermi level	1.307	states/eV/atom

Record 6
Compound: V2AgAu
Source: Alexandria via LeMat-Bulk
Functional: PBE
Structure: optimized geometry

```
8
Lattice="7.2633 0.0000 0.0000 0.0000 7.2633 0.0000 3.6317 3.6317 2.5973" Properties=species:S:1:pos:R:3 pbc="T T T"
V 9.0791 9.1697 1.9480
Au 0.0000 0.0000 0.0000
V 1.7252 5.4475 0.6493
Au 7.2633 3.6317 1.2987
Ag 3.6317 3.6317 0.0000
V 5.4475 5.3569 1.9480
Ag 3.6317 7.2633 1.2987
V 5.5381 1.8158 0.6493
```

Properties
magnetic moment	0.00	Bohr magnetons per cell
E	-5.3979	eV/atom
density of states at the Fermi level	1.231	states/eV/atom

Record 7
Compound: VAgAu6
Source: Alexandria via LeMat-Bulk
Functional: PBE
Structure: optimized geometry

```
8
Lattice="4.1372 0.0000 0.0000 0.0000 4.1372 0.0000 0.0000 0.0000 8.2770" Properties=species:S:1:pos:R:3 pbc="T T T"
V 0.0000 0.0000 4.1385
Au 2.0686 2.0686 0.0000
Au 2.0686 0.0000 2.1185
Au 0.0000 2.0686 6.1585
Au 2.0686 0.0000 6.1585
Au 2.0686 2.0686 4.1385
Au 0.0000 2.0686 2.1185
Ag 0.0000 0.0000 0.0000
```

Properties
magnetic moment	3.17	Bohr magnetons per cell
E	-3.9325	eV/atom
density of states at the Fermi level	0.843	states/eV/atom

Record 8
Compound: VAgAu
Source: Alexandria via LeMat-Bulk
Functional: PBE
Structure: optimized geometry

```
6
Lattice="5.1769 0.0000 0.0000 2.5884 3.4606 0.0000 2.5884 0.0000 6.1948" Properties=species:S:1:pos:R:3 pbc="T T T"
Ag 6.4711 1.7303 3.0974
V 5.1769 0.9378 0.0000
Au 2.5884 0.0000 1.3322
Ag 3.8827 1.7303 3.0974
V 2.5885 2.5228 0.0000
Au 5.1769 0.0000 4.8625
```

Properties
magnetic moment	0.20	Bohr magnetons per cell
E	-4.6614	eV/atom
density of states at the Fermi level	0.797	states/eV/atom